Here is an optimized crystal structure of Y2ScSb from the Alexandria database. Energies are from PBE.

```
Y2ScSb
1.0
6.010 -0.015 -0.002
4.282 4.218 -0.002
1.742 0.711 4.167
Y Sc Sb
2 1 1
Cartesian
1.742 0.711 4.167
6.017 2.457 2.082
3.008 1.228 1.041
9.025 3.685 3.123
```

calculated volume: 106 Å³/f.u.
formation energy (no corrections): -455 meV per atom

---

Here is an optimized crystal structure of Sm4Y2ErMg from the Alexandria database. Energies are from PBE.

```
Sm4Y2ErMg
1.0
-2.218 1.931 -4.070
-1.369 -4.618 -1.445
-9.949 -3.681 3.676
Sm Y Mg Er
4 2 1 1
Cartesian
-5.026 -0.146 -3.525
-10.729 -4.292 -2.383
-4.599 -3.419 -2.213
-8.937 -2.949 0.374
-12.167 -1.751 -0.394
-7.453 -5.493 -1.641
-11.743 -5.025 0.919
-5.660 -4.149 1.116
```

calculated volume: 253 Å³/f.u.
DFT formation energy: 0.01 eV/atom

---

Here is an optimized crystal structure of Tb6Ho2ErTm from the Alexandria database. Energies are from PBE.

```
Tb6Ho2ErTm
1.0
9.064 -1.977 -2.052
0.756 8.464 -1.995
0.756 -2.307 8.384
Tb Tm Er Ho
12 2 2 4
Cartesian
4.045 2.844 0.650
6.531 1.335 3.688
1.999 4.624 2.497
8.578 -0.444 1.840
8.449 -0.233 5.716
6.660 -2.530 3.332
4.879 -0.818 5.946
2.128 4.412 -1.378
3.917 6.709 1.005
1.165 -0.804 5.960
9.412 4.984 -1.623
5.697 4.998 -1.609
7.554 2.575 0.712
3.022 1.605 3.626
3.022 7.718 -2.266
7.554 -3.539 6.603
9.799 2.171 3.369
0.778 2.008 0.969
5.267 4.275 3.321
5.310 -0.095 1.017
```

calculated volume: 317 Å³/f.u.
DFT formation energy: 0.12 eV/atom

---

Here is an optimized crystal structure of LaSmGdSn from the Alexandria database. Energies are from PBE.

```
LaSmGdSn
1.0
5.564 0.000 0.000
2.782 4.819 0.000
2.782 1.606 4.543
La Sn Sm Gd
1 1 1 1
Cartesian
8.346 4.819 3.407
0.000 0.000 0.000
5.564 3.212 2.272
2.782 1.606 1.136
```

calculated volume: 122 Å³/f.u.
DFT formation energy: -0.27 eV/atom

---

Here is an optimized crystal structure of Pm3SiPt3 from the Alexandria database. Energies are from PBE.

```
Pm3SiPt3
1.0
4.133 0.000 0.623
2.048 5.341 0.437
-0.028 -0.158 14.216
Pt Pm Si
6 6 2
Cartesian
5.042 3.917 8.619
5.678 4.453 4.398
0.475 0.730 10.877
3.966 0.892 1.732
1.111 1.266 6.655
2.187 4.292 13.543
3.959 3.826 1.779
1.580 1.382 3.542
2.194 1.358 13.495
3.312 3.481 6.077
2.841 1.702 9.198
4.573 3.801 11.733
3.296 0.331 6.183
2.857 4.852 9.092
```

calculated volume: 157 Å³/f.u.
formation energy (no corrections): -1113 meV per atom

---

Here is an optimized crystal structure of LiPuO3 from the Alexandria database. Energies are from PBE.

```
LiPuO3
1.0
5.459 0.000 0.000
0.000 5.926 0.000
0.000 0.000 8.179
Pu O Li
4 12 4
Cartesian
0.000 2.963 4.090
2.729 0.000 0.000
0.000 2.963 0.000
2.729 0.000 4.090
4.500 1.195 4.588
0.959 4.731 3.591
3.688 4.158 4.588
1.771 1.768 0.498
1.771 1.768 3.591
4.754 2.932 2.045
2.024 0.031 6.134
3.435 5.895 2.045
4.500 1.195 7.681
0.959 4.731 0.498
0.705 2.995 6.134
3.688 4.158 7.681
0.126 0.620 6.134
2.855 2.343 2.045
2.604 3.583 6.134
5.333 5.306 2.045
```

calculated volume: 66 Å³/f.u.
formation energy (no corrections): -2574 meV per atom